Record 1
Material: CaZn2Ni
Method: DFT, meta-GGA SCAN
State: single point on PBEsol structure

Cell lengths 3.896, 5.621, 5.621 Å; angles 35.86, 90.00, 90.00 degrees
Sites, in units of the cell vectors:
1 Ca 0.000 0.000 0.000
2 Zn 0.000 0.734 0.734
3 Zn 0.500 0.291 0.291
4 Ni 0.500 0.614 0.614

E in eV/f.u.: -52.97
Total magnetization in μB per atom: 0.0000
Formation enthalpy at 0 K in eV/atom: -0.025
SG: No. 38

Record 2
Material: ReAgHg2
Method: DFT, meta-GGA SCAN
State: single point on PBEsol structure

Cell lengths 2.807, 2.807, 9.105 Å; angles 90.00, 90.00, 90.00 degrees
Sites, in units of the cell vectors:
1 Re 0.000 0.000 0.000
2 Ag 0.500 0.500 0.224
3 Hg 0.000 0.000 0.476
4 Hg 0.500 0.500 0.760

E in eV/f.u.: -236.10
Total magnetization in μB per atom: 0.0001
Formation enthalpy at 0 K in eV/atom: 0.674
SG: No. 99

Record 3
Material: BaZrAu
Method: DFT, meta-GGA SCAN
State: single point on PBEsol structure

Cell lengths 4.911, 4.911, 4.911 Å; angles 60.00, 60.00, 60.00 degrees
Sites, in units of the cell vectors:
1 Ba 0.000 0.000 0.000
2 Zr 0.750 0.750 0.750
3 Au 0.250 0.250 0.250

E in eV/f.u.: -136.64
Total magnetization in μB per atom: 0.0000
Formation enthalpy at 0 K in eV/atom: 0.921
SG: No. 216

Record 4
Material: Ta3PH
Method: DFT, meta-GGA SCAN
State: single point on PBEsol structure

Cell lengths 4.045, 4.045, 4.045 Å; angles 90.00, 90.00, 90.00 degrees
Sites, in units of the cell vectors:
1 Ta 0.000 0.000 0.500
2 Ta 0.000 0.500 0.000
3 Ta 0.500 0.000 0.000
4 P 0.500 0.500 0.500
5 H 0.000 0.000 0.000

E in eV/f.u.: -213.72
Total magnetization in μB per atom: 0.0000
SG: No. 221

E of number 3 (BaZrAu)?
-136.64 eV/f.u.